No. 1
## Nb3Pt3N (PBE-GGA)

Data for a relaxed structure of Nb3Pt3N.

Values from the calculation:
total moment: 0.00 μB/f.u.
crystal system: cubic
SG: No. 227
final energy: -0.32149 hartree per atom

Cell lengths 8.4477, 8.4477, 8.4477 Å; angles 60.00, 60.00, 60.00 degrees
Last column: nearest neighbours and their distance in Å.
Fractional positions:
Nb 0.0748 0.0748 0.6752  2 N 2.29
Nb 0.0748 0.6752 0.0748  2 N 2.29
Nb 0.0748 0.6752 0.6752  2 N 2.29
Nb 0.3248 0.3248 0.9252  2 N 2.29
Nb 0.3248 0.9252 0.3248  2 N 2.29
Nb 0.3248 0.9252 0.9252  2 N 2.29
Nb 0.6752 0.0748 0.0748  2 N 2.29
Nb 0.6752 0.0748 0.6752  2 N 2.29
Nb 0.6752 0.6752 0.0748  2 N 2.29
Nb 0.9252 0.3248 0.3248  2 N 2.29
Nb 0.9252 0.3248 0.9252  2 N 2.29
Nb 0.9252 0.9252 0.3248  2 N 2.29
Pt 0.0000 0.5000 0.5000  6 Pt 2.66, 6 Nb 2.97
Pt 0.2814 0.2814 0.2814  3 Pt 2.66, 6 Nb 2.69-2.93
Pt 0.2814 0.2814 0.6557  3 Pt 2.66, 6 Nb 2.69-2.93
Pt 0.2814 0.6557 0.2814  3 Pt 2.66, 6 Nb 2.69-2.93
Pt 0.3443 0.7186 0.7186  3 Pt 2.66, 6 Nb 2.69-2.93
Pt 0.5000 0.0000 0.5000  6 Pt 2.66, 6 Nb 2.97
Pt 0.5000 0.5000 0.0000  6 Pt 2.66, 6 Nb 2.97
Pt 0.5000 0.5000 0.5000  6 Pt 2.66, 6 Nb 2.97
Pt 0.6557 0.2814 0.2814  3 Pt 2.66, 6 Nb 2.69-2.93
Pt 0.7186 0.3443 0.7186  3 Pt 2.66, 6 Nb 2.69-2.93
Pt 0.7186 0.7186 0.3443  3 Pt 2.66, 6 Nb 2.69-2.93
Pt 0.7186 0.7186 0.7186  3 Pt 2.66, 6 Nb 2.69-2.93
N 0.0000 0.0000 0.0000  6 Nb 2.29
N 0.0000 0.0000 0.5000  6 Nb 2.29
N 0.0000 0.5000 0.0000  6 Nb 2.29
N 0.5000 0.0000 0.0000  6 Nb 2.29

---

No. 2
## NbPt3N (PBE-GGA)

Data for a relaxed structure of NbPt3N.

Values from the calculation:
excess energy over the best structure of this formula in the dataset: 7.81 eV/f.u.
total moment: 2.40 μB/f.u.
crystal system: cubic
SG: No. 221

Cell lengths 4.9178, 4.9178, 4.9178 Å; angles 90.00, 90.00, 90.00 degrees
Last column: nearest neighbours and their distance in Å.
Fractional positions:
Nb 0.0000 0.0000 0.0000  6 Pt 2.46
Pt 0.0000 0.0000 0.5000  2 Nb 2.46
Pt 0.0000 0.5000 0.0000  2 Nb 2.46
Pt 0.5000 0.0000 0.0000  2 Nb 2.46
N 0.5000 0.5000 0.5000  12 Pt 3.48

---

| no. | Fermi-level density of states (states/eV/f.u.) |
| --- | --- |
| 1 | 6.91 |
| 2 | 4.09 |